The following is a PBE-GGA calculation of an optimized crystal structure of Hg2RhAu, from Alexandria via LeMat-Bulk.

E_tot ... -10.470 eV for the cell shown
Calculated formation energy ... 0.191 eV per atom
Theoretical density ... 15.09 g cm⁻³

Lattice parameters (Å, degrees): 3.1151 3.1151 7.9521 90.00 90.00 90.00
Atoms (fractional coordinates):
Hg: 0.0000 0.0000 0.9810
Hg: 0.5000 0.5000 0.2846
Rh: 0.0000 0.0000 0.5082
Au: 0.5000 0.5000 0.7263

The following is a PBE-GGA calculation of an optimized crystal structure of CsHg2AsPt, from Alexandria via LeMat-Bulk.

E_tot ... -12.862 eV for the cell shown
Calculated formation energy ... -0.143 eV per atom
Theoretical density ... 8.86 g cm⁻³

Lattice parameters (Å, degrees): 5.4648 5.4648 5.0436 90.00 90.00 90.00
Last column: magnetic moment on the atom in μB.
Atoms (fractional coordinates):
Cs: 0.5000 0.5000 0.5000  0.02
As: 0.0000 0.0000 0.5000  0.37
Hg: 0.0000 0.5000 0.0000  0.03
Hg: 0.5000 0.0000 0.0000  0.03
Pt: 0.0000 0.0000 0.0000  0.23